[1]
Here is Na2IO2 after structural relaxation from the Alexandria database. Energies are from PBE-GGA.

The structure in POSCAR format:
```
Na2IO2
1.0
7.577 0.000 0.000
0.000 7.577 0.000
0.000 0.000 3.005
Na I O
4 2 4
direct
0.131 0.369 0.000 Na
0.369 0.869 0.000 Na
0.631 0.131 0.000 Na
0.869 0.631 0.000 Na
0.000 0.000 0.000 I
0.500 0.500 0.000 I
0.158 0.658 0.500 O
0.342 0.158 0.500 O
0.658 0.842 0.500 O
0.842 0.342 0.500 O
```

Computed properties:
Its raw formation energy is -294 meV per atom. The magnetic moment is 4.64 Bohr magnetons per cell.

=====

[2]
Here is Na5HBr4 after structural relaxation from the Alexandria database. Energies are from PBE-GGA.

The structure in POSCAR format:
```
Na5HBr4
1.0
-2.097 2.097 14.553
2.097 -2.097 14.553
2.097 2.097 -14.553
Na H Br
5 1 4
direct
0.000 0.000 0.000 Na
0.200 0.200 0.000 Na
0.414 0.414 0.000 Na
0.586 0.586 0.000 Na
0.800 0.800 0.000 Na
0.500 0.500 0.000 H
0.096 0.096 0.000 Br
0.303 0.303 0.000 Br
0.697 0.697 0.000 Br
0.904 0.904 0.000 Br
```

Computed properties:
The magnetic moment is 0.00 Bohr magnetons per cell. For the total DFT energy (no corrections), the calculation gives -2.911 eV per atom.

=====

[3]
Here is Ti5Al4Zn after structural relaxation from the Alexandria database. Energies are from PBE-GGA.

The structure in POSCAR format:
```
Ti5Al4Zn
1.0
2.821 0.000 0.000
0.000 2.821 0.000
0.000 0.000 20.175
Ti Al Zn
5 4 1
direct
0.000 0.000 0.000 Ti
0.000 0.000 0.202 Ti
0.000 0.000 0.402 Ti
0.000 0.000 0.598 Ti
0.000 0.000 0.798 Ti
0.500 0.500 0.101 Al
0.500 0.500 0.303 Al
0.500 0.500 0.697 Al
0.500 0.500 0.899 Al
0.500 0.500 0.500 Zn
```

Computed properties:
The magnetic moment is 0.00 Bohr magnetons per cell. Its formation energy is -0.3597 eV per atom.

=====

[4]
Here is PmPr4DyHo2 after structural relaxation from the Alexandria database. Energies are from PBE-GGA.

The structure in POSCAR format:
```
PmPr4DyHo2
1.0
5.159 0.000 0.000
0.000 5.189 0.000
0.000 0.000 10.156
Pm Pr Dy Ho
1 4 1 2
direct
0.000 0.000 0.000 Pm
0.000 0.500 0.251 Pr
0.000 0.500 0.749 Pr
0.500 0.000 0.252 Pr
0.500 0.000 0.748 Pr
0.500 0.500 0.500 Dy
0.000 0.000 0.500 Ho
0.500 0.500 0.000 Ho
```

Computed properties:
The magnetic moment is 0.00 Bohr magnetons per cell. Its formation energy is 0.0154 eV per atom.

=====

[5]
Here is V2CdTcH after structural relaxation from the Alexandria database. Energies are from PBE-GGA.

The structure in POSCAR format:
```
V2CdTcH
1.0
5.030 0.000 0.000
0.000 5.030 0.000
0.000 0.000 3.255
V Cd Tc H
2 1 1 1
direct
0.000 0.500 0.000 V
0.500 0.000 0.000 V
0.000 0.000 0.000 Cd
0.500 0.500 0.500 Tc
0.000 0.000 0.500 H
```

Computed properties:
The magnetic moment is 3.57 Bohr magnetons per cell. For the total DFT energy (no corrections), the calculation gives -5.152 eV per atom.

=====

[6]
Here is LuPuMgSn after structural relaxation from the Alexandria database. Energies are from PBE-GGA.

The structure in POSCAR format:
```
LuPuMgSn
1.0
0.000 3.726 3.726
3.726 0.000 3.726
3.726 3.726 0.000
Lu Pu Mg Sn
1 1 1 1
direct
0.000 0.000 0.000 Lu
0.500 0.500 0.500 Pu
0.750 0.750 0.750 Mg
0.250 0.250 0.250 Sn
```

Computed properties:
The magnetic moment is 6.35 Bohr magnetons per cell. Its formation energy is -0.2123 eV per atom.

=====

[7]
Here is LaGe3Bi after structural relaxation from the Alexandria database. Energies are from PBE-GGA.

The structure in POSCAR format:
```
LaGe3Bi
1.0
5.605 0.000 0.000
0.000 5.605 0.000
0.000 0.000 5.605
La Ge Bi
1 3 1
direct
0.000 0.000 0.000 La
0.000 0.000 0.500 Ge
0.000 0.500 0.000 Ge
0.500 0.000 0.000 Ge
0.500 0.500 0.500 Bi
```

Computed properties:
The magnetic moment is 0.00 Bohr magnetons per cell. Its formation energy is 0.8421 eV per atom.

=====

[8]
Here is Hf2BeZnAu after structural relaxation from the Alexandria database. Energies are from PBE-GGA.

The structure in POSCAR format:
```
Hf2BeZnAu
1.0
4.950 0.000 0.000
0.000 4.950 0.000
0.000 0.000 3.965
Hf Be Zn Au
2 1 1 1
direct
0.000 0.500 0.000 Hf
0.500 0.000 0.000 Hf
0.000 0.000 0.500 Be
0.000 0.000 0.000 Zn
0.500 0.500 0.500 Au
```

Computed properties:
The magnetic moment is 0.00 Bohr magnetons per cell. Its formation energy is 0.4885 eV per atom.

=====

Q: Which of these has the highest magnetic moment?
A: LuPuMgSn

=====

Q: Which of these has the highest magnetic moment?
A: LuPuMgSn

=====

Copy entry 8 word for word.
Here is Hf2BeZnAu after structural relaxation from the Alexandria database. Energies are from PBE-GGA.

The structure in POSCAR format:
```
Hf2BeZnAu
1.0
4.950 0.000 0.000
0.000 4.950 0.000
0.000 0.000 3.965
Hf Be Zn Au
2 1 1 1
direct
0.000 0.500 0.000 Hf
0.500 0.000 0.000 Hf
0.000 0.000 0.500 Be
0.000 0.000 0.000 Zn
0.500 0.500 0.500 Au
```

Computed properties:
The magnetic moment is 0.00 Bohr magnetons per cell. Its formation energy is 0.4885 eV per atom.